Ce2Zn5Cd (PBE, optimized geometry); formation enthalpy at 0 K = -0.233 eV per atom; density = 7.19 g/cm3
1.0
4.421 0.000 0.000
-2.210 8.263 0.000
0.000 0.000 9.094
Ce Zn Cd
4 10 2
Cartesian
2.210 4.840 6.821
0.000 3.423 2.274
0.000 0.000 0.000
0.000 0.000 4.547
0.000 3.071 8.108
2.210 5.191 0.986
0.000 3.071 5.533
2.210 5.191 3.561
0.000 5.688 8.928
2.210 2.575 0.166
0.000 5.688 4.713
2.210 2.575 4.381
2.210 1.713 6.821
0.000 6.550 2.274
0.000 7.330 6.821
2.210 0.933 2.274

Ce2ZnCd (PBE, optimized geometry); formation enthalpy at 0 K = -0.160 eV per atom; energy above the lowest structure with this stoichiometry = 0.038 eV/atom; density = 7.47 g/cm3
1.0
3.888 0.000 0.000
0.000 3.888 0.000
0.000 0.000 6.733
Zn Ce Cd
1 2 1
Cartesian
1.944 1.944 0.000
0.000 0.000 5.314
0.000 0.000 1.419
1.944 1.944 3.366

CeZn2Cd (PBE, optimized geometry); formation enthalpy at 0 K = -0.267 eV per atom; energy above the lowest structure with this stoichiometry = 0.000 eV/atom; density = 7.68 g/cm3
1.0
4.895 0.000 0.000
2.447 4.239 0.000
2.447 1.413 3.996
Zn Ce Cd
2 1 1
Cartesian
2.447 1.413 0.999
7.342 4.239 2.997
0.000 0.000 0.000
4.895 2.826 1.998

Ce2Zn2Cd3 (PBE, optimized geometry); formation enthalpy at 0 K = -0.174 eV per atom; energy above the lowest structure with this stoichiometry = 0.000 eV/atom; density = 7.81 g/cm3
1.0
-0.651 0.031 -3.084
-3.564 -2.869 0.723
-4.804 9.987 1.113
Ce Zn Cd
2 2 3
Cartesian
-6.273 4.398 1.367
-2.095 2.721 0.469
-4.984 2.317 -0.536
-4.034 4.832 -0.711
-3.067 -0.173 -0.966
-5.951 7.322 -0.282
0.000 0.000 0.000

Ce2Zn6Cd (PBE, optimized geometry); formation enthalpy at 0 K = -0.225 eV per atom; density = 7.34 g/cm3
1.0
5.803 -0.219 0.344
0.023 5.173 2.910
-0.348 0.074 5.925
Ce Zn Cd
2 6 1
Cartesian
4.654 3.315 6.179
0.824 1.714 3.000
1.724 1.873 6.024
1.734 4.215 7.341
1.891 4.181 4.659
3.754 3.156 3.154
3.744 0.814 1.837
3.586 0.848 4.519
0.000 0.000 0.000

Ce2Zn2Cd (PBE, optimized geometry); formation enthalpy at 0 K = -0.222 eV per atom; density = 7.62 g/cm3
1.0
3.243 0.000 0.000
0.000 4.716 -0.088
0.000 -2.219 7.503
Ce Zn Cd
2 2 1
Cartesian
1.621 0.105 5.659
1.621 2.391 1.756
0.000 2.440 4.400
0.000 0.056 3.015
0.000 0.000 0.000

Ce2Zn2Cd (PBE, optimized geometry); formation enthalpy at 0 K = -0.164 eV per atom; density = 7.64 g/cm3
1.0
4.899 0.000 1.480
2.007 4.980 2.207
-0.244 1.270 9.658
Ce Zn Cd
4 4 2
Cartesian
3.404 4.981 10.860
4.970 1.856 5.666
3.258 1.268 2.485
1.691 4.393 7.679
2.107 1.694 6.295
0.978 2.701 10.035
4.554 4.555 7.050
5.684 3.549 3.310
2.668 4.052 4.440
3.994 2.197 8.905

CeZn2Cd3 (PBE, optimized geometry); formation enthalpy at 0 K = -0.162 eV per atom; density = 7.72 g/cm3
1.0
-2.622 -0.552 3.771
-4.521 -4.140 -6.587
5.597 -3.668 3.356
Ce Zn Cd
2 4 6
Cartesian
-0.405 -7.039 1.527
-1.142 -1.320 -0.987
-1.098 -7.311 -1.833
-0.449 -1.048 2.372
-3.298 -3.396 0.047
1.751 -4.963 0.492
-0.527 -4.749 -1.061
-3.188 -6.252 -0.294
1.394 -4.225 3.189
-2.940 -4.134 -2.649
1.642 -2.107 0.833
-1.020 -3.610 1.600

Ce2ZnCd16 (PBE, optimized geometry); formation enthalpy at 0 K = -0.108 eV per atom; density = 8.16 g/cm3
1.0
7.591 0.079 0.944
0.844 7.545 0.944
0.088 0.079 7.649
Ce Zn Cd
2 1 16
Cartesian
5.699 5.151 6.378
2.799 2.530 3.132
7.701 6.961 8.618
5.332 0.084 2.961
0.320 2.324 5.630
2.872 5.296 0.948
0.621 5.296 2.961
5.559 2.324 0.948
2.345 0.084 5.630
3.369 6.641 3.770
6.947 2.683 3.770
2.968 2.683 7.325
4.992 1.626 5.587
2.121 4.803 5.587
5.314 4.803 2.733
7.954 4.183 8.901
4.963 7.492 8.901
8.289 7.492 5.929
0.802 0.725 0.897

Ce4ZnCd (PBE, optimized geometry); formation enthalpy at 0 K = -0.091 eV per atom; energy above the lowest structure with this stoichiometry = 0.000 eV/atom; density = 8.16 g/cm3
1.0
5.428 -0.064 -0.080
-1.475 7.715 -0.558
-1.475 -2.292 7.388
Ce Zn Cd
8 2 2
Cartesian
2.644 4.977 3.957
3.687 4.912 0.005
2.548 2.601 0.965
-0.070 2.758 5.784
-0.166 0.383 2.792
0.973 -1.076 4.826
1.505 6.436 1.924
-1.209 0.447 6.744
-0.118 7.597 -0.497
2.596 -2.237 7.246
2.596 1.707 4.114
-0.118 3.652 2.635

Ce2Zn3Cd (PBE, optimized geometry); formation enthalpy at 0 K = -0.256 eV per atom; density = 7.56 g/cm3
1.0
-0.716 5.404 -1.992
-4.975 -2.989 0.028
1.306 1.427 8.682
Ce Zn Cd
4 6 2
Cartesian
-3.257 -0.177 3.864
-4.467 1.895 -1.542
-1.128 4.019 2.854
-1.224 0.519 -0.422
-4.152 -0.452 0.762
-2.349 0.125 6.959
-0.234 4.294 5.955
-2.036 3.717 -0.242
-0.512 0.876 2.561
-3.873 2.965 4.156
-3.347 2.065 1.525
-1.038 1.777 5.193

Ce2ZnCd (PBE, optimized geometry); formation enthalpy at 0 K = -0.198 eV per atom; energy above the lowest structure with this stoichiometry = 0.000 eV/atom; density = 7.97 g/cm3
1.0
4.607 0.004 0.006
-0.010 6.003 4.054
-0.010 3.246 5.642
Ce Zn Cd
2 1 1
Cartesian
2.810 5.554 5.601
2.814 4.159 3.175
0.509 3.476 5.179
0.514 1.853 2.358